# 1
! CsMn2Tc, PBEsol geometry, DFT SCAN; values from VASP
! **Magnetic moment**: 6.01 μB per cell
! **Formation enthalpy at 0 K**: 592 kJ/mol of formula units
&SYSTEM
  ibrav = 0, nat = 4, ntyp = 3
/
ATOMIC_SPECIES
Tc 98.00 Tc.upf
Cs 132.91 Cs.upf
Mn 54.94 Mn.upf
CELL_PARAMETERS angstrom
4.674 0.000 0.000
2.337 4.048 0.000
2.337 1.349 3.816
ATOMIC_POSITIONS angstrom
Tc 0.000 0.000 0.000
Cs 4.674 2.699 1.908
Mn 7.011 4.048 2.862
Mn 2.337 1.349 0.954

=====

# 2
! BeCo3Re, PBEsol geometry, DFT SCAN; values from VASP
! **Magnetic moment**: 5.28 μB per cell
! **Formation enthalpy at 0 K**: 284 kJ/mol of formula units
&SYSTEM
  ibrav = 0, nat = 5, ntyp = 3
/
ATOMIC_SPECIES
Be 9.01 Be.upf
Co 58.93 Co.upf
Re 186.21 Re.upf
CELL_PARAMETERS angstrom
3.780 0.000 0.000
0.000 3.780 0.000
0.000 0.000 3.780
ATOMIC_POSITIONS angstrom
Be 0.000 0.000 0.000
Co 0.000 0.000 1.890
Co 0.000 1.890 0.000
Co 1.890 0.000 0.000
Re 1.890 1.890 1.890